Arrangement w

{"formula": "MgTiFe3", "functional": "PBE-GGA", "state": "optimized geometry", "lattice": [[-3.7166, -2.2074, -0.6481], [1.6323, -3.3979, 2.2127], [-1.6212, 1.6394, 3.7135]], "species": ["Ti", "Fe", "Fe", "Fe", "Mg"], "fractional_positions": [[0.5000, 0.5000, 0.5000], [0.0000, 0.5000, 0.0000], [0.5000, 0.0000, 0.0000], [0.0000, 0.0000, 0.5000], [0.0000, 0.0000, 0.0000]], "vol_a3_per_atom": 16.70}

---

Arrangement x

{"formula": "MgTiFe3", "functional": "PBE-GGA", "state": "optimized geometry", "lattice": [[-1.2452, 2.8609, 3.0637], [2.3953, -2.1373, 2.9693], [3.4401, 2.5237, -0.9585]], "species": ["Fe", "Fe", "Fe", "Mg", "Ti"], "fractional_positions": [[0.5000, 0.0000, 0.0000], [0.0000, 0.5000, 0.0000], [0.0000, 0.0000, 0.5000], [0.5000, 0.5000, 0.5000], [0.0000, 0.0000, 0.0000]], "vol_a3_per_atom": 16.72}

---

Stability summary: most stable arrangement x, least stable arrangement w.

---

Arrangement w

{"formula": "Mg6TiFe", "functional": "PBE-GGA", "state": "optimized geometry", "lattice": [[3.0315, -5.4728, 0.0000], [3.0315, 5.4728, 0.0000], [0.0000, 0.0000, 4.7793]], "species": ["Fe", "Ti", "Mg", "Mg", "Mg", "Mg", "Mg", "Mg"], "fractional_positions": [[0.1936, 0.8064, 0.0000], [0.3089, 0.6911, 0.5000], [0.8366, 0.6806, 0.5000], [0.6716, 0.3284, 0.0000], [0.8323, 0.1677, 0.5000], [0.6602, 0.8226, 0.0000], [0.1774, 0.3398, 0.0000], [0.3194, 0.1634, 0.5000]], "vol_a3_per_atom": 19.82}

---

Arrangement x

{"formula": "Mg6TiFe", "functional": "PBE-GGA", "state": "optimized geometry", "lattice": [[2.9680, -5.4324, 0.0000], [2.9680, 5.4324, 0.0000], [0.0000, 0.0000, 4.9231]], "species": ["Mg", "Mg", "Mg", "Mg", "Mg", "Mg", "Fe", "Ti"], "fractional_positions": [[0.1738, 0.8262, 0.0000], [0.3276, 0.1713, 0.5000], [0.8287, 0.6724, 0.5000], [0.6831, 0.3169, 0.0000], [0.1610, 0.3333, 0.0000], [0.6667, 0.8390, 0.0000], [0.8317, 0.1683, 0.5000], [0.3273, 0.6727, 0.5000]], "vol_a3_per_atom": 19.84}

---

Stability summary: most stable arrangement w, least stable arrangement x.

---

Arrangement w

{"formula": "Mg14TiFe", "functional": "PBE-GGA", "state": "optimized geometry", "lattice": [[3.0743, -5.4637, 0.0000], [3.0743, 5.4637, 0.0000], [0.0000, 0.0000, 10.1153]], "species": ["Mg", "Mg", "Mg", "Mg", "Mg", "Mg", "Mg", "Mg", "Mg", "Mg", "Mg", "Mg", "Mg", "Mg", "Ti", "Fe"], "fractional_positions": [[0.1626, 0.3334, 0.7363], [0.6666, 0.8374, 0.7363], [0.1707, 0.8293, 0.2514], [0.3264, 0.1655, 0.5000], [0.1707, 0.8293, 0.7486], [0.6751, 0.3249, 0.2647], [0.6751, 0.3249, 0.7353], [0.1626, 0.3334, 0.2637], [0.8345, 0.6736, 0.5000], [0.3339, 0.6661, 0.0000], [0.6666, 0.8374, 0.2637], [0.8329, 0.1671, 0.0000], [0.3341, 0.1698, 0.0000], [0.8302, 0.6659, 0.0000], [0.3270, 0.6730, 0.5000], [0.8310, 0.1690, 0.5000]], "vol_a3_per_atom": 21.24}

---

Arrangement x

{"formula": "Mg14TiFe", "functional": "PBE-GGA", "state": "optimized geometry", "lattice": [[3.1357, -5.4312, 0.0000], [3.1357, 5.4312, 0.0000], [0.0000, 0.0000, 9.9542]], "species": ["Mg", "Mg", "Mg", "Mg", "Mg", "Mg", "Mg", "Mg", "Mg", "Mg", "Mg", "Mg", "Mg", "Mg", "Fe", "Ti"], "fractional_positions": [[0.1596, 0.3191, 0.2437], [0.1596, 0.8404, 0.2437], [0.9972, 0.4986, 0.0000], [0.6809, 0.8404, 0.7563], [0.5014, 0.4986, 0.0000], [0.0066, 0.5033, 0.5000], [0.6809, 0.8404, 0.2437], [0.6667, 0.3333, 0.2560], [0.6667, 0.3333, 0.7440], [0.4967, 0.9934, 0.5000], [0.1596, 0.3191, 0.7563], [0.5014, 0.0028, 0.0000], [0.1596, 0.8404, 0.7563], [0.4967, 0.5033, 0.5000], [0.0000, 0.0000, 0.0000], [0.0000, 0.0000, 0.5000]], "vol_a3_per_atom": 21.19}

---

Stability summary: most stable arrangement w, least stable arrangement x.

---

Arrangement w

{"formula": "Tm4MgFe", "functional": "PBE-GGA", "state": "optimized geometry", "lattice": [[8.1803, 0.0000, 4.7229], [2.7268, 7.7125, 4.7229], [0.0000, 0.0000, 9.4458]], "species": ["Tm", "Tm", "Tm", "Tm", "Tm", "Tm", "Tm", "Tm", "Tm", "Tm", "Tm", "Tm", "Tm", "Tm", "Tm", "Tm", "Fe", "Fe", "Fe", "Fe", "Mg", "Mg", "Mg", "Mg"], "fractional_positions": [[0.4074, 0.7778, 0.4074], [0.8095, 0.8095, 0.1905], [0.1905, 0.1905, 0.8095], [0.9364, 0.5636, 0.9364], [0.8095, 0.1905, 0.1905], [0.4074, 0.4074, 0.4074], [0.5636, 0.9364, 0.9364], [0.1905, 0.8095, 0.8095], [0.8095, 0.1905, 0.8095], [0.5636, 0.9364, 0.5636], [0.1905, 0.8095, 0.1905], [0.4074, 0.4074, 0.7778], [0.9364, 0.9364, 0.5636], [0.5636, 0.5636, 0.9364], [0.9364, 0.5636, 0.5636], [0.7778, 0.4074, 0.4074], [0.6119, 0.6119, 0.6119], [0.6119, 0.1644, 0.6119], [0.6119, 0.6119, 0.1644], [0.1644, 0.6119, 0.6119], [0.4877, 0.1708, 0.1708], [0.1708, 0.1708, 0.1708], [0.1708, 0.4877, 0.1708], [0.1708, 0.1708, 0.4877]], "vol_a3_per_atom": 24.83}

---

Arrangement x

{"formula": "Tm4MgFe", "functional": "PBE-GGA", "state": "optimized geometry", "lattice": [[5.9282, 0.0000, 0.5844], [0.0000, 6.7507, 0.0000], [0.6724, 0.0000, 8.2989]], "species": ["Tm", "Tm", "Tm", "Tm", "Tm", "Tm", "Tm", "Tm", "Fe", "Fe", "Mg", "Mg"], "fractional_positions": [[0.8840, 0.1393, 0.3780], [0.9344, 0.6170, 0.2222], [0.0656, 0.3830, 0.7778], [0.1160, 0.8607, 0.6220], [0.4344, 0.8830, 0.2222], [0.5656, 0.1170, 0.7778], [0.6160, 0.6393, 0.6220], [0.3840, 0.3607, 0.3780], [0.5000, 0.0000, 0.5000], [0.0000, 0.5000, 0.5000], [0.0000, 0.0000, 0.0000], [0.5000, 0.5000, 0.0000]], "vol_a3_per_atom": 27.46}

---

Stability summary: most stable arrangement w, least stable arrangement x.

---

Arrangement w

{"formula": "MgV2Fe", "functional": "PBE-GGA", "state": "optimized geometry", "lattice": [[0.0000, 3.0314, 3.0314], [3.0314, 0.0000, 3.0314], [3.0314, 3.0314, 0.0000]], "species": ["Fe", "V", "V", "Mg"], "fractional_positions": [[0.5000, 0.5000, 0.5000], [0.2500, 0.2500, 0.2500], [0.7500, 0.7500, 0.7500], [0.0000, 0.0000, 0.0000]], "vol_a3_per_atom": 13.93}

---

Arrangement x

{"formula": "MgV2Fe", "functional": "PBE-GGA", "state": "optimized geometry", "lattice": [[6.8165, 0.0000, 0.0000], [0.0000, 6.8165, 0.0000], [3.4082, 3.4082, 2.5761]], "species": ["V", "V", "V", "V", "Mg", "Mg", "Fe", "Fe"], "fractional_positions": [[0.6837, 0.1250, 0.2500], [0.3750, 0.3163, 0.7500], [0.0663, 0.6250, 0.2500], [0.8750, 0.9337, 0.7500], [0.5000, 0.5000, 0.0000], [0.2500, 0.7500, 0.5000], [0.7500, 0.2500, 0.5000], [0.0000, 0.0000, 0.0000]], "vol_a3_per_atom": 14.96}

---

Stability summary: most stable arrangement w, least stable arrangement x.

---

Arrangement w

{"formula": "MgFeW", "functional": "PBE-GGA", "state": "optimized geometry", "lattice": [[-2.9086, -1.6112, 2.4040], [-1.9086, -3.4542, -1.1228], [0.7180, -3.4932, 2.0290]], "species": ["Mg", "Fe", "W"], "fractional_positions": [[0.0000, 0.0000, 0.0000], [0.7500, 0.7500, 0.7500], [0.5000, 0.5000, 0.5000]], "vol_a3_per_atom": 16.28}

---

Arrangement x

{"formula": "MgFeW", "functional": "PBE-GGA", "state": "optimized geometry", "lattice": [[-4.3754, -3.3012, 0.4829], [-0.7652, -5.4274, 0.4825], [2.6713, 4.5354, 1.6027]], "species": ["Fe", "W", "Mg"], "fractional_positions": [[0.0139, 0.0139, 0.0000], [0.6430, 0.6430, 0.0000], [0.3431, 0.3431, 0.0000]], "vol_a3_per_atom": 14.89}

---

Stability summary: most stable arrangement x, least stable arrangement w.

---

Arrangement w

{"formula": "MgFeW", "functional": "PBE-GGA", "state": "optimized geometry", "lattice": [[-3.2288, 1.0648, 2.4520], [-2.9531, -2.8283, 0.9226], [-0.2798, -1.5465, 3.8860]], "species": ["Fe", "Mg", "W"], "fractional_positions": [[0.0000, 0.0000, 0.0000], [0.5000, 0.5000, 0.5000], [0.7500, 0.7500, 0.7500]], "vol_a3_per_atom": 17.36}

---

Arrangement x

{"formula": "MgFeW", "functional": "PBE-GGA", "state": "optimized geometry", "lattice": [[-2.5086, 5.5075, -3.5370], [-3.7069, 5.6408, -1.1134], [2.0432, 1.7749, -0.0517]], "species": ["Mg", "Fe", "W"], "fractional_positions": [[0.6602, 0.6602, 0.3398], [0.9943, 0.9943, 0.0057], [0.3455, 0.3455, 0.6545]], "vol_a3_per_atom": 15.41}

---

Stability summary: most stable arrangement x, least stable arrangement w.

---

Arrangement w

{"formula": "Mg6FeW", "functional": "PBE-GGA", "state": "optimized geometry", "lattice": [[2.8825, -5.3731, 0.0000], [2.8825, 5.3731, 0.0000], [0.0000, 0.0000, 4.8143]], "species": ["Mg", "Mg", "Mg", "Mg", "Mg", "Mg", "W", "Fe"], "fractional_positions": [[0.6869, 0.3131, 0.0000], [0.3253, 0.1746, 0.5000], [0.6604, 0.8306, 0.0000], [0.1694, 0.3396, 0.0000], [0.1784, 0.8216, 0.0000], [0.8254, 0.6747, 0.5000], [0.3237, 0.6763, 0.5000], [0.8304, 0.1696, 0.5000]], "vol_a3_per_atom": 18.64}

---

Arrangement x

{"formula": "Mg6FeW", "functional": "PBE-GGA", "state": "optimized geometry", "lattice": [[2.9363, -5.4269, 0.0000], [2.9363, 5.4269, 0.0000], [0.0000, 0.0000, 4.6855]], "species": ["Mg", "Mg", "Mg", "Mg", "Mg", "Mg", "W", "Fe"], "fractional_positions": [[0.6573, 0.8192, 0.0000], [0.3193, 0.1661, 0.5000], [0.8299, 0.1701, 0.5000], [0.1808, 0.3427, 0.0000], [0.8339, 0.6807, 0.5000], [0.6733, 0.3267, 0.0000], [0.3089, 0.6911, 0.5000], [0.1966, 0.8034, 0.0000]], "vol_a3_per_atom": 18.67}

---

Stability summary: most stable arrangement x, least stable arrangement w.